{"formula": "NaTl2TcS", "functional": "GGA-PBE", "state": "optimized geometry", "lattice_angstrom": [[5.913, 0.000, 0.000], [0.000, 4.401, 0.000], [0.000, 0.000, 5.913]], "species": ["S", "Tl", "Tl", "Tc", "Na"], "fractional_positions": [[0.000, 0.000, 0.000], [0.500, 0.000, 0.000], [0.000, 0.000, 0.500], [0.000, 0.500, 0.000], [0.500, 0.500, 0.500]], "dft_energy_ev_per_cell": -18.519, "magnetic_moment_mub_per_fu": 2.0, "spacegroup": "No. 123", "n_ef_per_ev_atom": 0.84, "raw_formation_energy_mev_per_atom": 405.1, "volume_a3_per_cell": 153.90}

***

{"formula": "Na2VTcS", "functional": "GGA-PBE", "state": "optimized geometry", "lattice_angstrom": [[5.003, 0.000, 0.000], [0.000, 4.454, 0.000], [0.000, 0.000, 5.003]], "species": ["Na", "Na", "S", "Tc", "V"], "fractional_positions": [[0.500, 0.000, 0.000], [0.000, 0.000, 0.500], [0.000, 0.000, 0.000], [0.000, 0.500, 0.000], [0.500, 0.500, 0.500]], "dft_energy_ev_per_cell": -21.631, "magnetic_moment_mub_per_fu": 0.2, "spacegroup": "No. 123", "n_ef_per_ev_atom": 1.86, "raw_formation_energy_mev_per_atom": 923.7, "volume_a3_per_cell": 111.50}

***

{"formula": "Na4TeS5", "functional": "GGA-PBE", "state": "optimized geometry", "lattice_angstrom": [[5.863, 0.000, 0.000], [2.932, 6.420, 0.000], [2.932, 0.000, 6.420]], "species": ["S", "S", "S", "S", "S", "Na", "Na", "Na", "Na", "Te"], "fractional_positions": [[0.067, 0.668, 0.187], [0.735, 0.187, 0.332], [0.923, 0.332, 0.813], [0.255, 0.813, 0.668], [0.466, 0.000, 0.000], [0.211, 0.174, 0.406], [0.617, 0.594, 0.174], [0.384, 0.406, 0.826], [0.790, 0.826, 0.594], [0.063, 0.000, 0.000]], "dft_energy_ev_per_cell": -35.086, "magnetic_moment_mub_per_fu": 0.0, "spacegroup": "No. 79", "n_ef_per_ev_atom": 0.14, "raw_formation_energy_mev_per_atom": -603.1, "volume_a3_per_cell": 241.67}

***

{"formula": "NaTe2S3", "functional": "GGA-PBE", "state": "optimized geometry", "lattice_angstrom": [[7.464, 0.000, 0.000], [0.000, 7.220, 1.677], [0.000, -0.209, 7.409]], "species": ["Na", "Na", "Te", "Te", "Te", "Te", "S", "S", "S", "S", "S", "S"], "fractional_positions": [[0.250, 0.310, 0.690], [0.750, 0.690, 0.310], [0.000, 0.179, 0.179], [0.500, 0.179, 0.179], [0.000, 0.821, 0.821], [0.500, 0.821, 0.821], [0.250, 0.354, 0.306], [0.750, 0.306, 0.354], [0.750, 0.985, 0.015], [0.250, 0.694, 0.646], [0.750, 0.646, 0.694], [0.250, 0.015, 0.985]], "dft_energy_ev_per_cell": -41.967, "magnetic_moment_mub_per_fu": 0.0, "spacegroup": "No. 63", "n_ef_per_ev_atom": 0.38, "raw_formation_energy_mev_per_atom": -166.4, "volume_a3_per_cell": 401.85}

***

{"formula": "Na12Te6S", "functional": "GGA-PBE", "state": "optimized geometry", "lattice_angstrom": [[-0.368, 6.565, -5.862], [-7.976, -3.515, -1.270], [-1.590, 4.557, 7.369]], "species": ["Te", "Te", "Te", "Te", "Te", "Te", "Na", "Na", "Na", "Na", "Na", "Na", "Na", "Na", "Na", "Na", "Na", "Na", "S"], "fractional_positions": [[0.609, 0.293, 0.136], [0.136, 0.609, 0.293], [0.293, 0.136, 0.609], [0.864, 0.391, 0.707], [0.707, 0.864, 0.391], [0.391, 0.707, 0.864], [0.822, 0.555, 0.415], [0.445, 0.585, 0.178], [0.415, 0.822, 0.555], [0.698, 0.945, 0.047], [0.945, 0.047, 0.698], [0.953, 0.302, 0.055], [0.555, 0.415, 0.822], [0.178, 0.445, 0.585], [0.302, 0.055, 0.953], [0.055, 0.953, 0.302], [0.585, 0.178, 0.445], [0.047, 0.698, 0.945], [0.000, 0.000, 0.000]], "dft_energy_ev_per_cell": -53.916, "magnetic_moment_mub_per_fu": 1.5, "spacegroup": "No. 148", "n_ef_per_ev_atom": 1.41, "raw_formation_energy_mev_per_atom": -795.3, "volume_a3_per_cell": 652.27}

***

{"formula": "Na2TeS2", "functional": "GGA-PBE", "state": "optimized geometry", "lattice_angstrom": [[-4.007, -3.073, -0.736], [1.757, -5.303, -5.112], [3.118, -8.941, 2.665]], "species": ["Te", "Te", "Na", "Na", "Na", "Na", "S", "S", "S", "S"], "fractional_positions": [[0.656, 0.787, 0.900], [0.344, 0.213, 0.100], [0.057, 0.710, 0.177], [0.328, 0.805, 0.538], [0.672, 0.195, 0.462], [0.943, 0.290, 0.823], [0.801, 0.734, 0.664], [0.529, 0.178, 0.765], [0.471, 0.822, 0.235], [0.199, 0.266, 0.336]], "dft_energy_ev_per_cell": -34.706, "magnetic_moment_mub_per_fu": 0.0, "spacegroup": "No. 12", "raw_formation_energy_mev_per_atom": -663.7, "volume_a3_per_cell": 302.49}